1.
## Nd2Sm2CI3Br2 (PBE)

Data for a geometry-optimized Nd2Sm2CI3Br2 structure.

As for the volume: 31.93 A^3/atom. The raw total energy is -4.860 eV per atom.

Structure (POSCAR):
```
Nd2Sm2CI3Br2
1.0
-4.441 -2.139 8.152
-7.095 -3.369 5.390
4.821 -7.141 -1.452
I Br C Nd Sm
3 2 1 2 2
Direct
0.168 0.168 0.348
0.500 0.500 0.500
0.832 0.832 0.652
0.167 0.167 0.831
0.833 0.833 0.169
0.500 0.500 0.000
0.361 0.361 0.935
0.639 0.639 0.065
0.002 0.002 0.807
0.998 0.998 0.193
```


2.
## CsNp4Se8 (PBE)

Data for a geometry-optimized CsNp4Se8 structure.

As for the volume: 40.55 A^3/atom. The raw total energy is -7.362 eV per atom.

Structure (POSCAR):
```
CsNp4Se8
1.0
5.668 -4.436 7.022
5.857 3.859 7.205
-0.809 -0.203 10.020
Np Se Cs
4 8 1
Direct
0.500 0.000 0.500
0.000 0.500 0.500
0.500 0.500 0.000
0.000 0.000 0.000
0.276 0.776 0.776
0.724 0.224 0.224
0.723 0.723 0.723
0.224 0.724 0.224
0.277 0.277 0.277
0.776 0.776 0.276
0.776 0.276 0.776
0.224 0.224 0.724
0.500 0.500 0.500
```


3.
## CsUAu (PBE)

Data for a geometry-optimized CsUAu structure.

As for the volume: 31.25 A^3/atom. The raw total energy is -4.015 eV per atom.

Structure (POSCAR):
```
CsUAu
1.0
0.000 3.606 3.606
3.606 0.000 3.606
3.606 3.606 0.000
Cs Au U
1 1 1
Direct
0.750 0.750 0.750
0.250 0.250 0.250
0.000 0.000 0.000
```


4.
## ErSnPO (PBE)

Data for a geometry-optimized ErSnPO structure.

As for the volume: 22.75 A^3/atom. The raw total energy is -6.046 eV per atom.

Structure (POSCAR):
```
ErSnPO
1.0
-0.357 1.774 -4.248
5.542 -2.756 -1.616
-3.041 -5.032 -1.847
P Er O Sn
2 2 2 2
Direct
0.000 0.790 0.355
0.000 0.210 0.855
0.500 0.653 0.558
0.500 0.347 0.058
0.500 0.359 0.410
0.500 0.641 0.910
0.000 0.790 0.931
0.000 0.210 0.431
```


> Look up the raw total energy of the fourth one.

-6.046 eV per atom


> raw total energy of number 2 (CsNp4Se8)?

-7.362 eV per atom